Entry 1:
BeSi2Ir: PBEsol geometry, meta-GGA SCAN.

Cell lengths 4.3728, 4.3728, 4.3728 Å; angles 131.44, 127.07, 74.65 degrees
Closest atoms and distances in Å follow each position.
Element x y z (fractional)
1 Be 0.0000 0.0000 0.0000  8 Si 2.47-2.64, 4 Ir 2.65
2 Si 0.2436 0.7436 0.5000  4 Be 2.47-2.64, 4 Ir 2.53-2.58, 4 Si 2.65
3 Si 0.7564 0.2564 0.5000  4 Be 2.47-2.64, 4 Ir 2.53-2.58, 4 Si 2.65
4 Ir 0.5000 0.5000 0.0000  8 Si 2.53-2.58, 4 Be 2.65

## Properties
* calculated density: 8.771 g/cm³
* formation energy without anion corrections: -5.1 kJ/mol of atoms
* uncorrected energy: -23.9238 eV/atom
* symmetry: Immm

Entry 2:
CsAsSe2Br: PBEsol geometry, meta-GGA SCAN.

Cell lengths 5.0652, 5.0652, 5.6377 Å; angles 90.00, 90.00, 90.00 degrees
Closest atoms and distances in Å follow each position.
Element x y z (fractional)
1 Cs 0.0000 0.0000 0.0000  4 Br 3.58, 8 Se 3.79
2 As 0.5000 0.5000 0.5000  4 Se 2.53, 2 Br 2.82
3 Se 0.0000 0.5000 0.5000  2 As 2.53
4 Se 0.5000 0.0000 0.5000  2 As 2.53
5 Br 0.5000 0.5000 0.0000  2 As 2.82

## Properties
* calculated density: 5.116 g/cm³
* formation energy without anion corrections: -54.4 kJ/mol of atoms
* uncorrected energy: -24.0869 eV/atom
* symmetry: P4/mmm

Entry 3:
Tl2SeBr: PBEsol geometry, meta-GGA SCAN.

Cell lengths 5.3073, 5.3073, 5.3073 Å; angles 60.00, 60.00, 60.00 degrees
Closest atoms and distances in Å follow each position.
Element x y z (fractional)
1 Tl 0.2500 0.2500 0.2500  4 Br 3.25, 4 Se 3.25
2 Tl 0.7500 0.7500 0.7500  4 Br 3.25, 4 Se 3.25
3 Se 0.0000 0.0000 0.0000  8 Tl 3.25
4 Br 0.5000 0.5000 0.5000  8 Tl 3.25

## Properties
* calculated density: 8.917 g/cm³
* formation energy without anion corrections: -39.2 kJ/mol of atoms
* relative energy among the computed polymorphs: 0.103 eV/atom
* uncorrected energy: -46.4695 eV/atom
* symmetry: Fm-3m

Entry 4:
Ag3Te: PBEsol geometry, meta-GGA SCAN.

Cell lengths 4.2372, 4.2372, 4.2372 Å; angles 90.00, 90.00, 90.00 degrees
Closest atoms and distances in Å follow each position.
Element x y z (fractional)
1 Ag 0.0000 0.0000 0.5000  4 Te 3.00, 8 Ag 3.00
2 Ag 0.0000 0.5000 0.0000  4 Te 3.00, 8 Ag 3.00
3 Ag 0.5000 0.0000 0.0000  4 Te 3.00, 8 Ag 3.00
4 Te 0.5000 0.5000 0.5000  12 Ag 3.00

## Properties
* calculated density: 9.849 g/cm³
* formation energy without anion corrections: 1.3 kJ/mol of atoms
* relative energy among the computed polymorphs: 0.000 eV/atom
* uncorrected energy: -32.8245 eV/atom
* symmetry: Pm-3m

Entry 5:
YAsSeN2: PBEsol geometry, meta-GGA SCAN.

Cell lengths 3.9322, 3.9322, 4.9361 Å; angles 90.00, 90.00, 90.00 degrees
Closest atoms and distances in Å follow each position.
Element x y z (fractional)
1 Y 0.0000 0.0000 0.0000  4 Se 2.78
2 As 0.5000 0.5000 0.5000  4 N 1.97
3 Se 0.5000 0.5000 0.0000  2 As 2.47
4 N 0.0000 0.5000 0.5000  2 As 1.97
5 N 0.5000 0.0000 0.5000  2 As 1.97

## Properties
* calculated density: 5.892 g/cm³
* formation energy without anion corrections: 18.5 kJ/mol of atoms
* uncorrected energy: -17.1472 eV/atom
* symmetry: P4/mmm

Entry 6:
La5Pb3C: PBEsol geometry, meta-GGA SCAN.

Cell lengths 9.5310, 9.5310, 6.7880 Å; angles 90.00, 90.00, 120.00 degrees
Closest atoms and distances in Å follow each position.
Element x y z (fractional)
1 La 0.0000 0.2113 0.2500  2 C 2.63
2 La 0.0000 0.7887 0.7500  2 C 2.63
3 La 0.2113 0.0000 0.2500  2 C 2.63
4 La 0.2113 0.2113 0.7500  2 C 2.63
5 La 0.3333 0.6667 0.0000  6 Pb 3.34, 2 La 3.39
6 La 0.3333 0.6667 0.5000  6 Pb 3.34, 2 La 3.39
7 La 0.6667 0.3333 0.0000  6 Pb 3.34, 2 La 3.39
8 La 0.6667 0.3333 0.5000  6 Pb 3.34, 2 La 3.39
9 La 0.7887 0.0000 0.7500  2 C 2.63
10 La 0.7887 0.7887 0.2500  2 C 2.63
11 Pb 0.0000 0.4110 0.7500  7 La 3.34-3.60
12 Pb 0.0000 0.5890 0.2500  7 La 3.34-3.60
13 Pb 0.4110 0.0000 0.7500  7 La 3.34-3.60
14 Pb 0.4110 0.4110 0.2500  7 La 3.34-3.60
15 Pb 0.5890 0.0000 0.2500  7 La 3.34-3.60
16 Pb 0.5890 0.5890 0.7500  7 La 3.34-3.60
17 C 0.0000 0.0000 0.0000  6 La 2.63
18 C 0.0000 0.0000 0.5000  6 La 2.63

## Properties
* calculated density: 8.260 g/cm³
* uncorrected energy: -51.0935 eV/atom
* formation energy: -0.764 eV/atom
* symmetry: P6_3/mcm

Entry 7:
NbTcSb3: PBEsol geometry, meta-GGA SCAN.

Cell lengths 5.2468, 5.2468, 5.2468 Å; angles 90.00, 90.00, 90.00 degrees
Closest atoms and distances in Å follow each position.
Element x y z (fractional)
1 Nb 0.0000 0.0000 0.0000  6 Sb 2.62
2 Tc 0.5000 0.5000 0.5000  12 Sb 3.71
3 Sb 0.0000 0.0000 0.5000  2 Nb 2.62
4 Sb 0.0000 0.5000 0.0000  2 Nb 2.62
5 Sb 0.5000 0.0000 0.0000  2 Nb 2.62

## Properties
* calculated density: 6.394 g/cm³
* formation energy without anion corrections: 107.8 kJ/mol of atoms
* uncorrected energy: -34.8772 eV/atom
* symmetry: Pm-3m

Entry 8:
NaYBiF2: PBEsol geometry, meta-GGA SCAN.

Cell lengths 4.2551, 4.2551, 7.1199 Å; angles 90.00, 90.00, 90.00 degrees
Closest atoms and distances in Å follow each position.
Element x y z (fractional)
1 Na 0.0000 0.0000 0.0000  4 Bi 3.01
2 Y 0.0000 0.0000 0.5000  4 F 2.13
3 Bi 0.5000 0.5000 0.0000  4 Na 3.01
4 F 0.0000 0.5000 0.5000  2 Y 2.13
5 F 0.5000 0.0000 0.5000  2 Y 2.13

## Properties
* calculated density: 4.623 g/cm³
* formation energy without anion corrections: -201.6 kJ/mol of atoms
* uncorrected energy: -25.6333 eV/atom
* symmetry: P4/mmm

Entry 9:
ReAu3: PBEsol geometry, meta-GGA SCAN.

Cell lengths 4.8132, 4.8132, 4.8132 Å; angles 129.30, 129.30, 74.53 degrees
Closest atoms and distances in Å follow each position.
Element x y z (fractional)
1 Re 0.0000 0.0000 0.0000  12 Au 2.81-2.91
2 Au 0.2500 0.7500 0.5000  8 Au 2.81-2.91, 4 Re 2.81
3 Au 0.5000 0.5000 0.0000  8 Au 2.81, 4 Re 2.91
4 Au 0.7500 0.2500 0.5000  8 Au 2.81-2.91, 4 Re 2.81

## Properties
* calculated density: 19.831 g/cm³
* uncorrected energy: -69.0188 eV/atom
* formation energy: 0.623 eV/atom
* symmetry: I4/mmm

Entry 10:
MgCoTcH2: PBEsol geometry, meta-GGA SCAN.

Cell lengths 3.5926, 3.5926, 4.3834 Å; angles 90.00, 90.00, 90.00 degrees
Closest atoms and distances in Å follow each position.
Element x y z (fractional)
1 Mg 0.0000 0.0000 0.0000  4 Tc 2.54, 8 H 2.83
2 Co 0.5000 0.5000 0.5000  4 H 1.80
3 Tc 0.5000 0.5000 0.0000  2 Co 2.19
4 H 0.0000 0.5000 0.5000  2 Co 1.80
5 H 0.5000 0.0000 0.5000  2 Co 1.80

## Properties
* calculated density: 5.379 g/cm³
* uncorrected energy: -11.9914 eV/atom
* symmetry: P4/mmm

Entry 11:
Th4H15: PBEsol geometry, meta-GGA SCAN.

Cell lengths 7.7673, 7.7673, 7.7673 Å; angles 109.47, 109.47, 109.47 degrees
Closest atoms and distances in Å follow each position.
Element x y z (fractional)
1 Th 0.0000 0.0799 0.5000  12 H 2.27-2.42
2 Th 0.0000 0.5799 0.5000  12 H 2.27-2.42
3 Th 0.0799 0.5000 0.0000  12 H 2.27-2.42
4 Th 0.4201 0.4201 0.4201  12 H 2.27-2.42
5 Th 0.5000 0.0000 0.0799  12 H 2.27-2.42
6 Th 0.5000 0.0000 0.5799  12 H 2.27-2.42
7 Th 0.5799 0.5000 0.0000  12 H 2.27-2.42
8 Th 0.9201 0.9201 0.9201  12 H 2.27-2.42
9 H 0.0400 0.9051 0.6886  4 H 2.18-2.35, 3 Th 2.27-2.32
10 H 0.0949 0.2835 0.1349  4 H 2.18-2.35, 3 Th 2.27-2.32
11 H 0.1250 0.7500 0.8750  8 H 2.24-2.47, 4 Th 2.42
12 H 0.1349 0.0949 0.2835  4 H 2.18-2.35, 3 Th 2.27-2.32
13 H 0.1486 0.8651 0.4600  4 H 2.18-2.35, 3 Th 2.27-2.32
14 H 0.1886 0.4051 0.5400  4 H 2.18-2.35, 3 Th 2.27-2.32
15 H 0.2165 0.3114 0.8514  4 H 2.18-2.35, 3 Th 2.27-2.32
16 H 0.2500 0.6250 0.3750  8 H 2.24-2.47, 4 Th 2.42
17 H 0.2835 0.1349 0.0949  4 H 2.18-2.35, 3 Th 2.27-2.32
18 H 0.3114 0.8514 0.2165  4 H 2.18-2.35, 3 Th 2.27-2.32
19 H 0.3514 0.8114 0.7165  4 H 2.18-2.35, 3 Th 2.27-2.32
20 H 0.3651 0.6486 0.9600  4 H 2.18-2.35, 3 Th 2.27-2.32
21 H 0.3750 0.2500 0.6250  8 H 2.24-2.47, 4 Th 2.42
22 H 0.4051 0.5400 0.1886  4 H 2.18-2.35, 3 Th 2.27-2.32
23 H 0.4600 0.1486 0.8651  4 H 2.18-2.35, 3 Th 2.27-2.32
24 H 0.5400 0.1886 0.4051  4 H 2.18-2.35, 3 Th 2.27-2.32
25 H 0.5949 0.6349 0.7835  4 H 2.18-2.35, 3 Th 2.27-2.32
26 H 0.6250 0.3750 0.2500  8 H 2.24-2.47, 4 Th 2.42
27 H 0.6349 0.7835 0.5949  4 H 2.18-2.35, 3 Th 2.27-2.32
28 H 0.6486 0.9600 0.3651  4 H 2.18-2.35, 3 Th 2.27-2.32
29 H 0.6886 0.0400 0.9051  4 H 2.18-2.35, 3 Th 2.27-2.32
30 H 0.7165 0.3514 0.8114  4 H 2.18-2.35, 3 Th 2.27-2.32
31 H 0.7500 0.8750 0.1250  8 H 2.24-2.47, 4 Th 2.42
32 H 0.7835 0.5949 0.6349  4 H 2.18-2.35, 3 Th 2.27-2.32
33 H 0.8114 0.7165 0.3514  4 H 2.18-2.35, 3 Th 2.27-2.32
34 H 0.8514 0.2165 0.3114  4 H 2.18-2.35, 3 Th 2.27-2.32
35 H 0.8651 0.4600 0.1486  4 H 2.18-2.35, 3 Th 2.27-2.32
36 H 0.8750 0.1250 0.7500  8 H 2.24-2.47, 4 Th 2.42
37 H 0.9051 0.6886 0.0400  4 H 2.18-2.35, 3 Th 2.27-2.32
38 H 0.9600 0.3651 0.6486  4 H 2.18-2.35, 3 Th 2.27-2.32

## Properties
* calculated density: 8.684 g/cm³
* uncorrected energy: -23.4432 eV/atom
* symmetry: I-43d

Entry 12:
Ti2H4Pd: PBEsol geometry, meta-GGA SCAN.

Cell lengths 6.8201, 6.8201, 6.8201 Å; angles 155.50, 155.50, 34.92 degrees
Closest atoms and distances in Å follow each position.
Element x y z (fractional)
1 Ti 0.1535 0.1535 0.0000  8 H 1.92-2.06
2 Ti 0.8465 0.8465 0.0000  8 H 1.92-2.06
3 H 0.2500 0.7500 0.5000  4 Ti 1.92, 8 H 2.05-2.10
4 H 0.3672 0.3672 0.0000  1 Pd 1.73
5 H 0.6328 0.6328 0.0000  1 Pd 1.73
6 H 0.7500 0.2500 0.5000  4 Ti 1.92, 8 H 2.05-2.10
7 Pd 0.5000 0.5000 0.0000  2 H 1.73

## Properties
* calculated density: 6.282 g/cm³
* uncorrected energy: -11.6598 eV/atom
* symmetry: I4/mmm

Entry 13:
SbOs2Se: PBEsol geometry, meta-GGA SCAN.

Cell lengths 6.4797, 6.4797, 6.4797 Å; angles 153.56, 144.46, 44.84 degrees
Closest atoms and distances in Å follow each position.
Element x y z (fractional)
1 Sb 0.0000 0.0000 0.0000  6 Os 2.78-2.79, 2 Sb 2.96
2 Os 0.6065 0.6065 0.0000  2 Se 2.67, 4 Os 2.77-2.96, 4 Sb 2.78
3 Os 0.8023 0.3023 0.5000  4 Se 2.53, 2 Os 2.77, 2 Sb 2.79
4 Se 0.2567 0.7567 0.5000  6 Os 2.53-2.67

## Properties
* calculated density: 13.746 g/cm³
* formation energy without anion corrections: 67.5 kJ/mol of atoms
* relative energy among the computed polymorphs: 0.038 eV/atom
* uncorrected energy: -49.5749 eV/atom
* symmetry: Imm2

Entry 14:
Fe2PtRh: PBEsol geometry, meta-GGA SCAN.

Cell lengths 2.6546, 3.9466, 5.0791 Å; angles 90.00, 105.16, 90.00 degrees
Closest atoms and distances in Å follow each position.
Element x y z (fractional)
1 Fe 0.0000 0.0000 0.0000  2 Fe 2.37, 1 Pt 2.56, 4 Rh 2.57-2.58
2 Fe 0.1426 0.5000 0.2668  2 Fe 2.37, 4 Pt 2.59-2.60, 2 Rh 2.60-2.65
3 Pt 0.7446 0.0000 0.4775  7 Fe 2.56-2.70, 2 Pt 2.65, 4 Rh 2.85
4 Rh 0.4018 0.5000 0.7976  7 Fe 2.57-2.66, 2 Rh 2.65, 4 Pt 2.85

## Properties
* calculated density: 13.245 g/cm³
* uncorrected energy: -35.2320 eV/atom
* formation energy: -0.176 eV/atom
* symmetry: Pm

Entry 15:
ScRuRh: PBEsol geometry, meta-GGA SCAN.

Cell lengths 4.2177, 4.2177, 4.2177 Å; angles 60.00, 60.00, 60.00 degrees
Closest atoms and distances in Å follow each position.
Element x y z (fractional)
1 Sc 0.0000 0.0000 0.0000  4 Ru 2.58
2 Ru 0.7500 0.7500 0.7500  4 Rh 2.58, 4 Sc 2.58
3 Rh 0.5000 0.5000 0.5000  4 Ru 2.58

## Properties
* calculated density: 7.791 g/cm³
* uncorrected energy: -27.5877 eV/atom
* formation energy: 0.024 eV/atom
* symmetry: F-43m

Entry 16:
BaTl3F: PBEsol geometry, meta-GGA SCAN.

Cell lengths 5.2498, 5.2498, 5.2498 Å; angles 90.00, 90.00, 90.00 degrees
Closest atoms and distances in Å follow each position.
Element x y z (fractional)
1 Ba 0.0000 0.0000 0.0000  12 Tl 3.71
2 Tl 0.0000 0.5000 0.5000  2 F 2.62
3 Tl 0.5000 0.0000 0.5000  2 F 2.62
4 Tl 0.5000 0.5000 0.0000  2 F 2.62
5 F 0.5000 0.5000 0.5000  6 Tl 2.62

## Properties
* calculated density: 8.831 g/cm³
* formation energy without anion corrections: -81.9 kJ/mol of atoms
* uncorrected energy: -52.8821 eV/atom
* symmetry: Pm-3m

Entry 17:
Ta2ZnOs: PBEsol geometry, meta-GGA SCAN.

Cell lengths 4.4499, 4.4499, 4.4499 Å; angles 60.00, 60.00, 60.00 degrees
Closest atoms and distances in Å follow each position.
Element x y z (fractional)
1 Ta 0.0000 0.0000 0.0000  4 Zn 2.73, 4 Ta 2.73
2 Ta 0.2500 0.2500 0.2500  4 Ta 2.73, 4 Os 2.73
3 Zn 0.7500 0.7500 0.7500  4 Ta 2.73, 4 Os 2.73
4 Os 0.5000 0.5000 0.5000  4 Zn 2.73, 4 Ta 2.73

## Properties
* calculated density: 16.458 g/cm³
* uncorrected energy: -54.6177 eV/atom
* formation energy: 0.023 eV/atom
* symmetry: F-43m

Entry 18:
TlTeRu2: PBEsol geometry, meta-GGA SCAN.

Cell lengths 4.5912, 4.5912, 4.5912 Å; angles 60.00, 60.00, 60.00 degrees
Closest atoms and distances in Å follow each position.
Element x y z (fractional)
1 Tl 0.0000 0.0000 0.0000  8 Ru 2.81
2 Te 0.5000 0.5000 0.5000  8 Ru 2.81
3 Ru 0.2500 0.2500 0.2500  4 Te 2.81, 4 Tl 2.81
4 Ru 0.7500 0.7500 0.7500  4 Te 2.81, 4 Tl 2.81

## Properties
* calculated density: 12.961 g/cm³
* formation energy without anion corrections: 50.4 kJ/mol of atoms
* relative energy among the computed polymorphs: 0.090 eV/atom
* uncorrected energy: -44.2933 eV/atom
* symmetry: Fm-3m

Entry 19:
HfAuSCl2: PBEsol geometry, meta-GGA SCAN.

Cell lengths 4.7965, 4.7965, 4.8546 Å; angles 90.00, 90.00, 90.00 degrees
Closest atoms and distances in Å follow each position.
Element x y z (fractional)
1 Hf 0.0000 0.0000 0.0000  4 S 3.39, 8 Cl 3.41
2 Au 0.5000 0.5000 0.5000  4 Cl 2.40, 2 S 2.43
3 S 0.5000 0.5000 0.0000  2 Au 2.43
4 Cl 0.0000 0.5000 0.5000  2 Au 2.40
5 Cl 0.5000 0.0000 0.5000  2 Au 2.40

## Properties
* calculated density: 7.113 g/cm³
* formation energy without anion corrections: 38.2 kJ/mol of atoms
* uncorrected energy: -31.0864 eV/atom
* symmetry: P4/mmm

Entry 20:
Ca3PC: PBEsol geometry, meta-GGA SCAN.

Cell lengths 5.2751, 5.2751, 5.2751 Å; angles 90.00, 90.00, 90.00 degrees
Closest atoms and distances in Å follow each position.
Element x y z (fractional)
1 Ca 0.0000 0.0000 0.5000  2 P 2.64
2 Ca 0.0000 0.5000 0.0000  2 P 2.64
3 Ca 0.5000 0.0000 0.0000  2 P 2.64
4 P 0.0000 0.0000 0.0000  6 Ca 2.64
5 C 0.5000 0.5000 0.5000  12 Ca 3.73

## Properties
* calculated density: 1.846 g/cm³
* uncorrected energy: -9.4754 eV/atom
* formation energy: 0.422 eV/atom
* symmetry: Pm-3m